Below is a PBEsol-optimized structure of LiBeCr2, with properties calculated at the SCAN level.

```
data_LiBeCr2
_space_group_name_H-M_alt 'C m m 2'
_space_group_IT_number 35
_cell_length_a 2.8211
_cell_length_b 3.7654
_cell_length_c 8.2907
_cell_angle_alpha 90.00
_cell_angle_beta 90.00
_cell_angle_gamma 90.00
loop_
_space_group_symop_operation_xyz
'x,y,z'
'-x,-y,z'
'-x,y,z'
'x,-y,z'
'x+1/2,y+1/2,z'
'-x+1/2,-y+1/2,z'
'-x+1/2,y+1/2,z'
'x+1/2,-y+1/2,z'
loop_
_atom_site_label
_atom_site_fract_x
_atom_site_fract_y
_atom_site_fract_z
_atom_site_occupancy
Li1 0.0000 0.0000 0.0000 1
Be1 0.0000 0.5000 0.7455 1
Cr1 0.0000 0.0000 0.5217 1
Cr2 0.0000 0.5000 0.2757 1
```

Calculated density ... 4.52 g/cm³
Total moment ... 0.42 Bohr magnetons per cell
ΔH_f (0 K) ... 0.251 eV/atom

Below is a PBEsol-optimized structure of LiBeCr2, with properties calculated at the SCAN level.

```
data_LiBeCr2
_space_group_name_H-M_alt 'P 1 m 1'
_space_group_IT_number 6
_cell_length_a 2.2730
_cell_length_b 3.9243
_cell_length_c 4.8271
_cell_angle_alpha 90.00
_cell_angle_beta 96.82
_cell_angle_gamma 90.00
loop_
_space_group_symop_operation_xyz
'x,y,z'
'x,-y,z'
loop_
_atom_site_label
_atom_site_fract_x
_atom_site_fract_y
_atom_site_fract_z
_atom_site_occupancy
Li1 0.0000 0.0000 0.0000 1
Be1 0.7972 0.5000 0.2438 1
Cr1 0.2561 0.5000 0.7160 1
Cr2 0.4597 0.0000 0.4979 1
```

Calculated density ... 4.66 g/cm³
Total moment ... 0.00 Bohr magnetons per cell
ΔH_f (0 K) ... 0.332 eV/atom

Below is a PBEsol-optimized structure of LiBeCr2, with properties calculated at the SCAN level.

```
data_LiBeCr2
_space_group_name_H-M_alt 'P 4/m m m'
_space_group_IT_number 123
_space_group_name_Hall '-P 4 2'
_cell_length_a 2.2914
_cell_length_b 2.2914
_cell_length_c 8.1840
_cell_angle_alpha 90.00
_cell_angle_beta 90.00
_cell_angle_gamma 90.00
loop_
_atom_site_label
_atom_site_fract_x
_atom_site_fract_y
_atom_site_fract_z
_atom_site_occupancy
Li1 0.0000 0.0000 0.0000 1
Be1 0.0000 0.0000 0.5000 1
Cr1 0.5000 0.5000 0.2782 1
```

Calculated density ... 4.63 g/cm³
Total moment ... 0.00 Bohr magnetons per cell
ΔH_f (0 K) ... 0.325 eV/atom

Below is a PBEsol-optimized structure of MgBeCr2, with properties calculated at the SCAN level.

```
data_MgBeCr2
_space_group_name_H-M_alt 'I m m 2'
_space_group_IT_number 44
_cell_length_a 2.9580
_cell_length_b 4.2825
_cell_length_c 7.8751
_cell_angle_alpha 90.00
_cell_angle_beta 90.00
_cell_angle_gamma 90.00
loop_
_space_group_symop_operation_xyz
'x,y,z'
'-x,-y,z'
'-x,y,z'
'x,-y,z'
'x+1/2,y+1/2,z+1/2'
'-x+1/2,-y+1/2,z+1/2'
'-x+1/2,y+1/2,z+1/2'
'x+1/2,-y+1/2,z+1/2'
loop_
_atom_site_label
_atom_site_fract_x
_atom_site_fract_y
_atom_site_fract_z
_atom_site_occupancy
Mg1 0.0000 0.0000 0.0000 1
Be1 0.0000 0.5000 0.7609 1
Cr1 0.0000 0.0000 0.5216 1
Cr2 0.0000 0.5000 0.2218 1
```

Calculated density ... 4.57 g/cm³
Distance to the lowest polymorph of the same formula ... 230.5 meV/atom
Total moment ... 0.04 Bohr magnetons per cell
ΔH_f (0 K) ... 0.365 eV/atom

Below is a PBEsol-optimized structure of MgBeCr2, with properties calculated at the SCAN level.

```
data_MgBeCr2
_space_group_name_H-M_alt 'P 4 m m'
_space_group_IT_number 99
_cell_length_a 2.9061
_cell_length_b 2.9061
_cell_length_c 6.0664
_cell_angle_alpha 90.00
_cell_angle_beta 90.00
_cell_angle_gamma 90.00
loop_
_space_group_symop_operation_xyz
'x,y,z'
'-y,x,z'
'-x,-y,z'
'y,-x,z'
'-x,y,z'
'y,x,z'
'x,-y,z'
'-y,-x,z'
loop_
_atom_site_label
_atom_site_fract_x
_atom_site_fract_y
_atom_site_fract_z
_atom_site_occupancy
Mg1 0.0000 0.0000 0.0000 1
Be1 0.5000 0.5000 0.2806 1
Cr1 0.0000 0.0000 0.4985 1
Cr2 0.5000 0.5000 0.6729 1
```

Calculated density ... 4.45 g/cm³
Distance to the lowest polymorph of the same formula ... 0.0 meV/atom
Total moment ... 0.49 Bohr magnetons per cell
ΔH_f (0 K) ... 0.135 eV/atom

Below is a PBEsol-optimized structure of MgBeCr2, with properties calculated at the SCAN level.

```
data_MgBeCr2
_space_group_name_H-M_alt 'C 1 m 1'
_space_group_IT_number 8
_cell_length_a 8.2075
_cell_length_b 2.4409
_cell_length_c 4.9091
_cell_angle_alpha 90.00
_cell_angle_beta 93.38
_cell_angle_gamma 90.00
loop_
_space_group_symop_operation_xyz
'x,y,z'
'x,-y,z'
'x+1/2,y+1/2,z'
'x+1/2,-y+1/2,z'
loop_
_atom_site_label
_atom_site_fract_x
_atom_site_fract_y
_atom_site_fract_z
_atom_site_occupancy
Mg1 0.0000 0.0000 0.0000 1
Be1 0.2485 0.0000 0.7410 1
Cr1 0.0164 0.5000 0.5046 1
Cr2 0.2557 0.5000 0.3086 1
```

Calculated density ... 4.64 g/cm³
Distance to the lowest polymorph of the same formula ... 319.8 meV/atom
Total moment ... 0.00 Bohr magnetons per cell
ΔH_f (0 K) ... 0.455 eV/atom